# 1
A plane-wave DFT calculation with GGA-PBE was carried out for a relaxed K2RbCaMn crystal.

Cell lengths 7.426, 7.426, 5.978 Å; angles 90.00, 90.00, 90.00 degrees
Space group P4/mmm (No. 123)
Unique sites:
K  0.000  0.500  0.000 x2
Rb  0.000  0.000  0.500 x1
Ca  0.500  0.500  0.000 x1
Mn  0.500  0.500  0.500 x1

final energy: -2.128 eV per atom



# 2
A plane-wave DFT calculation with GGA-PBE was carried out for a relaxed KCaMn2Si crystal.

Cell lengths 4.885, 4.885, 5.674 Å; angles 90.00, 90.00, 90.00 degrees
Space group P4/mmm (No. 123)
Unique sites:
K  0.000  0.000  0.000 x1
Ca  0.500  0.500  0.000 x1
Mn  0.000  0.500  0.500 x2
Si  0.500  0.500  0.500 x1

final energy: -4.852 eV per atom



# 3
A plane-wave DFT calculation with GGA-PBE was carried out for a relaxed K2CaMnSn crystal.

Cell lengths 5.739, 5.739, 5.236 Å; angles 90.00, 90.00, 90.00 degrees
Space group P4/mmm (No. 123)
Unique sites:
K  0.000  0.500  0.000 x2
Ca  0.000  0.000  0.000 x1
Mn  0.000  0.000  0.500 x1
Sn  0.500  0.500  0.500 x1

final energy: -2.076 eV per atom



# 4
A plane-wave DFT calculation with GGA-PBE was carried out for a relaxed KCaMnTc2 crystal.

Cell lengths 4.531, 4.531, 5.521 Å; angles 90.00, 90.00, 90.00 degrees
Space group P4/mmm (No. 123)
Unique sites:
K  0.000  0.000  0.000 x1
Ca  0.500  0.500  0.000 x1
Mn  0.000  0.000  0.500 x1
Tc  0.000  0.500  0.500 x2

final energy: -5.450 eV per atom



# 5
A plane-wave DFT calculation with GGA-PBE was carried out for a relaxed K2CaZrMn crystal.

Cell lengths 6.172, 6.172, 5.348 Å; angles 90.00, 90.00, 90.00 degrees
Space group P4/mmm (No. 123)
Unique sites:
K  0.000  0.500  0.000 x2
Ca  0.000  0.000  0.000 x1
Zr  0.500  0.500  0.500 x1
Mn  0.000  0.000  0.500 x1

final energy: -2.761 eV per atom



# 6
A plane-wave DFT calculation with GGA-PBE was carried out for a relaxed KCaMo2 crystal.

Cell lengths 5.549, 5.549, 3.646 Å; angles 90.00, 90.00, 90.00 degrees
Space group P4/mmm (No. 123)
Unique sites:
K  0.000  0.000  0.000 x1
Ca  0.500  0.500  0.000 x1
Mo  0.000  0.500  0.500 x2

excess energy over the best structure of this formula in the dataset: 1.3191 eV/atom



# 7
A plane-wave DFT calculation with GGA-PBE was carried out for a relaxed KCaMo2 crystal.

Cell lengths 3.887, 3.887, 5.586 Å; angles 90.00, 90.00, 90.00 degrees
Space group P4/mmm (No. 123)
Unique sites:
K  0.000  0.000  0.000 x1
Ca  0.500  0.500  0.000 x1
Mo  0.000  0.500  0.500 x2

excess energy over the best structure of this formula in the dataset: 0.6724 eV/atom



# 8
A plane-wave DFT calculation with GGA-PBE was carried out for a relaxed KCaMo2 crystal.

Cell lengths 3.474, 4.291, 11.283 Å; angles 90.00, 90.00, 90.00 degrees
Space group Immm (No. 71)
Unique sites:
K  0.000  0.000  0.000 x2
Ca  0.000  0.000  0.500 x2
Mo  0.000  0.500  0.246 x4

excess energy over the best structure of this formula in the dataset: 0.6528 eV/atom



Calculated volume / Å³/atom: 65.939 27.076 34.494 22.669 40.738 28.062 21.099 21.021